Record 1
First-principles (PBE) data for CrCu2 after structural relaxation, as listed in Alexandria.

Computed properties:
space-group type = Cmcm (63)
formation energy = 0.24 eV/atom
theoretical density = 8.3 g/cm³

Structure (CIF):
```
data_CrCu2
_symmetry_space_group_name_H-M 'P 1'
_symmetry_Int_Tables_number 1
_cell_length_a 7.133
_cell_length_b 7.133
_cell_length_c 4.195
_cell_angle_alpha 90.00
_cell_angle_beta 90.00
_cell_angle_gamma 160.48
loop_
_symmetry_equiv_pos_as_xyz
'x,y,z'
loop_
_atom_site_label
_atom_site_fract_x
_atom_site_fract_y
_atom_site_fract_z
Cr1 0.717 0.283 0.750
Cr2 0.283 0.717 0.250
Cu1 0.386 0.614 0.750
Cu2 0.052 0.948 0.750
Cu3 0.948 0.052 0.250
Cu4 0.614 0.386 0.250
```

***

Record 2
First-principles (PBE) data for CaLaPCl2 after structural relaxation, as listed in Alexandria.

Computed properties:
E_form (uncorrected) = -1.31 eV/atom
space-group type = P4/mmm (123)
excess energy over the best structure of this formula in the dataset = 0.0523 eV per atom
theoretical density = 2.7 g/cm³

Structure (CIF):
```
data_CaLaPCl2
_symmetry_space_group_name_H-M 'P 1'
_symmetry_Int_Tables_number 1
_cell_length_a 5.405
_cell_length_b 5.405
_cell_length_c 5.832
_cell_angle_alpha 90.00
_cell_angle_beta 90.00
_cell_angle_gamma 90.00
loop_
_symmetry_equiv_pos_as_xyz
'x,y,z'
loop_
_atom_site_label
_atom_site_fract_x
_atom_site_fract_y
_atom_site_fract_z
P1 0.000 0.000 0.500
Ca1 0.500 0.500 0.500
Cl1 0.000 0.500 0.000
Cl2 0.500 0.000 0.000
La1 0.000 0.000 0.000
```

***

Record 3
First-principles (PBE) data for Zn2Sn2Ru after structural relaxation, as listed in Alexandria.

Computed properties:
space-group type = I4/mmm (139)
formation energy = 0.74 eV/atom
excess energy over the best structure of this formula in the dataset = 0.4542 eV per atom
theoretical density = 7.4 g/cm³

Structure (CIF):
```
data_Zn2Sn2Ru
_symmetry_space_group_name_H-M 'P 1'
_symmetry_Int_Tables_number 1
_cell_length_a 4.057
_cell_length_b 4.057
_cell_length_c 7.034
_cell_angle_alpha 73.24
_cell_angle_beta 73.24
_cell_angle_gamma 90.00
loop_
_symmetry_equiv_pos_as_xyz
'x,y,z'
loop_
_atom_site_label
_atom_site_fract_x
_atom_site_fract_y
_atom_site_fract_z
Ru1 0.000 0.000 0.000
Zn1 0.411 0.411 0.179
Zn2 0.589 0.589 0.821
Sn1 0.750 0.250 0.500
Sn2 0.250 0.750 0.500
```

***

Record 4
First-principles (PBE) data for Y2AgPt9 after structural relaxation, as listed in Alexandria.

Computed properties:
space-group type = R-3m (166)
formation energy = -0.60 eV/atom
excess energy over the best structure of this formula in the dataset = 0.0309 eV per atom
theoretical density = 15.3 g/cm³

Structure (CIF):
```
data_Y2AgPt9
_symmetry_space_group_name_H-M 'P 1'
_symmetry_Int_Tables_number 1
_cell_length_a 5.399
_cell_length_b 5.399
_cell_length_c 9.332
_cell_angle_alpha 73.19
_cell_angle_beta 73.19
_cell_angle_gamma 60.00
loop_
_symmetry_equiv_pos_as_xyz
'x,y,z'
loop_
_atom_site_label
_atom_site_fract_x
_atom_site_fract_y
_atom_site_fract_z
Y1 0.865 0.865 0.406
Y2 0.135 0.135 0.594
Ag1 0.000 0.000 0.000
Pt1 0.667 0.667 0.998
Pt2 0.333 0.333 0.002
Pt3 0.500 0.500 0.500
Pt4 0.413 0.413 0.255
Pt5 0.919 0.413 0.255
Pt6 0.413 0.919 0.255
Pt7 0.587 0.587 0.745
Pt8 0.587 0.081 0.745
Pt9 0.081 0.587 0.745
```

***

Record 5
First-principles (PBE) data for Li3Zn2Pd after structural relaxation, as listed in Alexandria.

Computed properties:
space-group type = C2/c (15)
formation energy = -0.31 eV/atom
excess energy over the best structure of this formula in the dataset = 0.0000 eV per atom
theoretical density = 5.0 g/cm³

Structure (CIF):
```
data_Li3Zn2Pd
_symmetry_space_group_name_H-M 'P 1'
_symmetry_Int_Tables_number 1
_cell_length_a 5.006
_cell_length_b 5.006
_cell_length_c 6.977
_cell_angle_alpha 84.28
_cell_angle_beta 84.28
_cell_angle_gamma 97.35
loop_
_symmetry_equiv_pos_as_xyz
'x,y,z'
loop_
_atom_site_label
_atom_site_fract_x
_atom_site_fract_y
_atom_site_fract_z
Li1 0.847 0.677 0.491
Li2 0.323 0.153 0.009
Li3 0.153 0.323 0.509
Li4 0.677 0.847 0.991
Li5 0.561 0.439 0.250
Li6 0.439 0.561 0.750
Zn1 0.109 0.635 0.125
Zn2 0.365 0.891 0.375
Zn3 0.891 0.365 0.875
Zn4 0.635 0.109 0.625
Pd1 0.896 0.104 0.250
Pd2 0.104 0.896 0.750
```

***

Record 6
First-principles (PBE) data for PaV2As after structural relaxation, as listed in Alexandria.

Computed properties:
space-group type = Fm-3m (225)
formation energy = -0.11 eV/atom
excess energy over the best structure of this formula in the dataset = 0.0537 eV per atom
theoretical density = 10.5 g/cm³

Structure (CIF):
```
data_PaV2As
_symmetry_space_group_name_H-M 'P 1'
_symmetry_Int_Tables_number 1
_cell_length_a 4.502
_cell_length_b 4.502
_cell_length_c 4.502
_cell_angle_alpha 60.00
_cell_angle_beta 60.00
_cell_angle_gamma 60.00
loop_
_symmetry_equiv_pos_as_xyz
'x,y,z'
loop_
_atom_site_label
_atom_site_fract_x
_atom_site_fract_y
_atom_site_fract_z
As1 0.000 0.000 0.000
Pa1 0.500 0.500 0.500
V1 0.750 0.750 0.750
V2 0.250 0.250 0.250
```

***

Question: Number 5 is which compound?
Answer: Li3Zn2Pd

***

Question: The lowest theoretical density belongs to which entry?
Answer: CaLaPCl2

***

Question: Number 1 is which compound?
Answer: CrCu2